NaYB3 after structural relaxation, computed with GGA-PBEsol. Values from VASP.

Output
- ΔE to the lowest computed polymorph (meV per atom) = 155

```
&SYSTEM
  ibrav = 0, nat = 5, ntyp = 3
/
ATOMIC_SPECIES
Na 22.99 Na.upf
Y 88.91 Y.upf
B 10.81 B.upf
CELL_PARAMETERS angstrom
4.720 0.000 0.000
0.000 4.720 0.000
0.000 0.000 4.720
ATOMIC_POSITIONS crystal
Na 0.000 0.000 0.000
Y 0.500 0.500 0.500
B 0.000 0.500 0.500
B 0.500 0.000 0.500
B 0.500 0.500 0.000
```


NaCa2Tl2 after structural relaxation, computed with GGA-PBEsol. Values from VASP.

Output
- ΔE to the lowest computed polymorph (meV per atom) = 245

```
&SYSTEM
  ibrav = 0, nat = 5, ntyp = 3
/
ATOMIC_SPECIES
Na 22.99 Na.upf
Ca 40.08 Ca.upf
Tl 204.38 Tl.upf
CELL_PARAMETERS angstrom
-2.475 2.475 6.910
2.475 -2.475 6.910
2.475 2.475 -6.910
ATOMIC_POSITIONS crystal
Na 0.000 0.000 0.000
Ca 0.250 0.750 0.500
Ca 0.750 0.250 0.500
Tl 0.398 0.398 0.000
Tl 0.602 0.602 0.000
```


CsRbAu2 after structural relaxation, computed with GGA-PBEsol. Values from VASP.

```
&SYSTEM
  ibrav = 0, nat = 4, ntyp = 3
/
ATOMIC_SPECIES
Cs 132.91 Cs.upf
Rb 85.47 Rb.upf
Au 196.97 Au.upf
CELL_PARAMETERS angstrom
0.000 4.090 4.090
4.090 0.000 4.090
4.090 4.090 0.000
ATOMIC_POSITIONS crystal
Cs 0.000 0.000 0.000
Rb 0.500 0.500 0.500
Au 0.250 0.250 0.250
Au 0.750 0.750 0.750
```


Number 1: ΔE_f 1.965 eV per atom. Number 2: ΔE_f -0.088 eV per atom. Number 3: ΔE_f -0.131 eV per atom.